Entry 1:
Crystalline LaY2Si at its relaxed geometry. Source: Alexandria, functional PBE.

```
LaY2Si
1.0
5.8959 0.0007 0.0023
-2.7782 5.6656 -0.0013
0.3396 1.0712 3.3152
Y La Si
2 1 1
direct
0.5000 0.0000 0.5000 Y
0.0000 0.0000 0.0000 Y
0.0000 0.5000 0.5000 La
0.5000 0.5000 0.0000 Si
```

Output
- DOS at the Fermi energy: 4.16 states/eV per cell
- Space group: C2/m
- Final energy: -23.40 eV/cell



Entry 2:
Crystalline CeLuTePb at its relaxed geometry. Source: Alexandria, functional PBE.

```
CeLuTePb
1.0
-0.2196 1.7641 5.1158
-4.7937 0.6731 2.4289
-1.5246 -3.3639 3.9613
Lu Pb Te Ce
1 1 1 1
direct
0.5000 0.5000 0.5000 Lu
0.2500 0.2500 0.2500 Pb
0.7500 0.7500 0.7500 Te
0.0000 0.0000 0.0000 Ce
```

Output
- DOS at the Fermi energy: 6.27 states/eV per cell
- Space group: F-43m
- Final energy: -19.93 eV/cell



Entry 3:
Crystalline Th6RuSe3S2 at its relaxed geometry. Source: Alexandria, functional PBE.

```
Th6RuSe3S2
1.0
-0.9185 -1.4622 3.6571
-0.8273 -7.8202 -3.3346
9.2993 1.4304 0.6714
Se S Ru Th
3 2 1 6
direct
0.1664 0.8345 0.3327 Se
0.5000 0.5000 0.0000 Se
0.8336 0.1655 0.6673 Se
0.1676 0.3368 0.3353 S
0.8324 0.6632 0.6647 S
0.5000 0.0000 0.0000 Ru
0.0043 0.2296 0.0085 Th
0.9957 0.7704 0.9915 Th
0.3289 0.4260 0.6577 Th
0.6631 0.0967 0.3263 Th
0.3369 0.9033 0.6737 Th
0.6711 0.5740 0.3423 Th
```

Output
- DOS at the Fermi energy: 9.77 states/eV per cell
- Space group: C2/m
- Final energy: -90.18 eV/cell



Entry 4:
Crystalline LiCd4Te at its relaxed geometry. Source: Alexandria, functional PBE.

```
LiCd4Te
1.0
-2.2171 -0.8174 5.4854
-5.0612 2.7306 1.6129
-4.9986 -3.1802 0.7574
Cd Li Te
4 1 1
direct
0.3750 0.3750 0.8749 Cd
0.8749 0.3750 0.3750 Cd
0.3750 0.3750 0.3750 Cd
0.3750 0.8749 0.3750 Cd
0.7500 0.7500 0.7500 Li
0.0000 0.0000 0.0000 Te
```

Output
- DOS at the Fermi energy: 1.63 states/eV per cell
- Space group: F-43m
- Final energy: -8.67 eV/cell